1.
DFT (PBE-GGA) results for a relaxed structure of Mg3ZnAg5.

Values from the calculation:
formation energy = -0.1607 eV/atom
ΔE to the lowest computed polymorph = 0.000 eV per atom

```
Mg3ZnAg5
1.0
-1.301 5.480 0.349
-5.473 -0.922 -5.925
-2.197 -1.014 7.750
Mg Zn Ag
6 2 10
direct
0.750 0.367 0.367
0.750 0.000 0.633
0.750 0.633 0.000
0.250 0.633 0.633
0.250 0.000 0.367
0.250 0.367 0.000
0.000 0.000 0.000
0.500 0.000 0.000
0.000 0.667 0.333
0.500 0.333 0.667
0.000 0.333 0.667
0.500 0.667 0.333
0.750 0.703 0.703
0.750 0.000 0.297
0.750 0.297 0.000
0.250 0.297 0.297
0.250 0.000 0.703
0.250 0.703 0.000
```

=====

2.
DFT (PBE-GGA) results for a relaxed structure of LiPSe.

Values from the calculation:
formation energy without anion corrections = -0.07 eV per atom
ΔE to the lowest computed polymorph = 0.492 eV per atom

```
LiPSe
1.0
5.139 0.000 0.000
0.000 5.139 0.000
0.000 0.000 4.967
Li P Se
2 2 2
direct
0.000 0.500 0.646
0.500 0.000 0.354
0.000 0.000 0.000
0.500 0.500 0.000
0.000 0.500 0.137
0.500 0.000 0.863
```

=====

3.
DFT (PBE-GGA) results for a relaxed structure of Np2ZnGa3.

Values from the calculation:
formation energy = -0.1638 eV/atom
ΔE to the lowest computed polymorph = 0.000 eV per atom

```
Np2ZnGa3
1.0
5.610 0.000 0.000
-2.805 4.859 0.000
0.000 0.000 8.280
Np Zn Ga
4 2 6
direct
0.667 0.333 0.408
0.333 0.667 0.592
0.333 0.667 0.908
0.667 0.333 0.092
0.000 0.000 0.500
0.000 0.000 0.000
0.174 0.348 0.250
0.348 0.174 0.750
0.826 0.652 0.750
0.174 0.826 0.250
0.826 0.174 0.750
0.652 0.826 0.250
```

=====

4.
DFT (PBE-GGA) results for a relaxed structure of Tb7PrIn4.

Values from the calculation:
formation energy = -0.1147 eV/atom

```
Tb7PrIn4
1.0
-0.234 3.369 -4.594
1.429 -5.349 -7.535
-6.982 -0.373 -3.456
Tb Pr In
7 1 4
direct
0.790 0.877 0.543
0.210 0.123 0.457
0.063 0.605 0.268
0.937 0.395 0.732
0.284 0.654 0.777
0.500 0.000 0.000
0.716 0.346 0.223
0.000 0.000 0.000
0.561 0.241 0.638
0.439 0.759 0.362
0.682 0.667 0.968
0.318 0.333 0.032
```

=====

5.
DFT (PBE-GGA) results for a relaxed structure of AcHgPt.

Values from the calculation:
formation energy = -0.7523 eV/atom
ΔE to the lowest computed polymorph = 0.019 eV per atom

```
AcHgPt
1.0
5.186 0.000 -0.054
0.000 5.879 0.000
-2.512 0.000 5.570
Ac Hg Pt
2 2 2
direct
0.858 0.250 0.711
0.142 0.750 0.289
0.562 0.250 0.121
0.438 0.750 0.879
0.162 0.250 0.321
0.838 0.750 0.679
```

=====

6.
DFT (PBE-GGA) results for a relaxed structure of LaNdSm3Sc.

Values from the calculation:
formation energy = 0.0947 eV/atom

```
LaNdSm3Sc
1.0
-0.810 -5.676 0.384
5.146 1.921 -3.751
6.870 -0.355 9.243
La Nd Sm Sc
2 2 6 2
direct
0.473 0.946 0.750
0.527 0.054 0.250
0.000 0.000 0.500
0.000 0.000 0.000
0.680 0.359 0.530
0.320 0.641 0.470
0.320 0.641 0.030
0.680 0.359 0.970
0.174 0.348 0.750
0.826 0.652 0.250
0.850 0.700 0.750
0.150 0.300 0.250
```

=====

7.
DFT (PBE-GGA) results for a relaxed structure of SrMgZr3.

Values from the calculation:
formation energy = 0.9788 eV/atom
ΔE to the lowest computed polymorph = 0.000 eV per atom

```
SrMgZr3
1.0
-1.574 1.263 4.903
3.260 -3.675 1.993
3.874 3.607 0.315
Sr Mg Zr
1 1 3
direct
0.500 0.500 0.500
0.000 0.000 0.000
0.000 0.500 0.000
0.000 0.000 0.500
0.500 0.000 0.000
```

=====

8.
DFT (PBE-GGA) results for a relaxed structure of LiNpGaBi.

Values from the calculation:
formation energy = 0.0032 eV/atom

```
LiNpGaBi
1.0
5.129 0.000 0.000
2.564 4.442 0.000
2.564 1.481 4.188
Np Bi Ga Li
1 1 1 1
direct
0.500 0.500 0.500
0.750 0.750 0.750
0.250 0.250 0.250
0.000 0.000 0.000
```

=====

Calculated raw total energy in order - -2.418; -3.669; -6.203; -4.127; -4.236; -4.936; -4.805; -5.437 eV per atom